BeRhO2F PBE-GGA optimized geometry; formation energy (no corrections) = -0.14 eV per atom; N(E_F) = 4.37 states/eV/f.u.; calculated total energy = -4.717 eV per atom; total moment = 0.00 μB per cell; theoretical density = 4.4 g/cm³
1.0
3.9017 0.0000 0.0000
0.0000 3.9017 0.0000
0.0000 0.0000 4.0489
Be Rh O F
1 1 2 1
Direct
0.0000 0.0000 0.0000
0.5000 0.5000 0.5000
0.0000 0.5000 0.5000
0.5000 0.0000 0.5000
0.5000 0.5000 0.0000